Ca2TiWO6: optimized geometry, PBE with a Hubbard U.

Cell lengths 5.660, 5.660, 3.996 Å; angles 90.00, 90.00, 90.00 degrees
Space group P4mm (No. 99)
Unique sites:
Ca1 0.000 0.500 0.000 [2 per cell]
Ti1 0.000 0.000 0.575 [1 per cell]
W1 0.500 0.500 0.605 [1 per cell]
O1 0.000 0.000 0.121 [1 per cell]
O2 0.243 0.243 0.636 [4 per cell]
O3 0.500 0.500 0.109 [1 per cell]

Properties
volume: 128 Å³/cell
ΔE to the lowest computed polymorph: 0.122 eV/atom
DOS at the Fermi energy: 1.3 states/eV/f.u.
magnetic moment: 2.00 Bohr magnetons per cell
crystal system: tetragonal